Record 1
Below is a relaxed CuIrAu crystal, with properties calculated at the PBE level.

Results
* total magnetization: 0.00 μB per cell
* calculated formation energy: 318 meV per atom
* offset from the most stable computed form: 0.2825 eV/atom
* DOS at the Fermi energy: 3.1 states/eV/cell
* ρ: 16.6 g/cm³
* crystal system: orthorhombic
* calculated volume: 45.3 Å³/f.u.
* space group: Imm2

Unit cell a=5.026 b=5.026 c=5.026 alpha=148.86 beta=136.02 gamma=54.87
Element x y z (fractional)
Cu1 0.000 0.000 0.000
Ir1 0.645 0.645 0.000
Au1 0.329 0.329 0.000

Record 2
Below is a relaxed KRb2CuBr6 crystal, with properties calculated at the PBE level.

Results
* total magnetization: 2.00 μB per cell
* DOS at the Fermi energy: 2.1 states/eV/cell
* ρ: 3.5 g/cm³
* E: -2.76 eV per atom
* crystal system: cubic
* calculated volume: 362.1 Å³/f.u.
* space group: Fm-3m

Unit cell a=8.000 b=8.000 c=8.000 alpha=60.00 beta=60.00 gamma=60.00
Element x y z (fractional)
K1 0.000 0.000 0.000
Rb1 0.250 0.250 0.250
Rb2 0.750 0.750 0.750
Cu1 0.500 0.500 0.500
Br1 0.276 0.276 0.724
Br2 0.276 0.724 0.276
Br3 0.276 0.724 0.724
Br4 0.724 0.276 0.276
Br5 0.724 0.276 0.724
Br6 0.724 0.724 0.276

Record 3
Below is a relaxed PuSc2Au crystal, with properties calculated at the PBE level.

Results
* total magnetization: 6.35 μB per cell
* calculated formation energy: -236 meV per atom
* offset from the most stable computed form: 0.0896 eV/atom
* DOS at the Fermi energy: 7.0 states/eV/cell
* ρ: 10.3 g/cm³
* crystal system: tetragonal
* calculated volume: 85.5 Å³/f.u.
* space group: P4/mmm

Unit cell a=5.006 b=5.006 c=3.412 alpha=90.00 beta=90.00 gamma=90.00
Element x y z (fractional)
Pu1 0.000 0.000 0.000
Sc1 0.000 0.500 0.500
Sc2 0.500 0.000 0.500
Au1 0.500 0.500 0.000

Record 4
Below is a relaxed PrNdAl2 crystal, with properties calculated at the PBE level.

Results
* total magnetization: 0.00 μB per cell
* calculated formation energy: -221 meV per atom
* DOS at the Fermi energy: 4.8 states/eV/cell
* ρ: 5.4 g/cm³
* crystal system: monoclinic
* calculated volume: 104.6 Å³/f.u.
* space group: P2_1/m

Unit cell a=4.827 b=7.828 c=6.036 alpha=90.00 beta=113.49 gamma=90.00
Element x y z (fractional)
Pr1 0.093 0.250 0.184
Pr2 0.907 0.750 0.816
Nd1 0.405 0.250 0.810
Nd2 0.595 0.750 0.190
Al1 0.250 0.587 0.500
Al2 0.250 0.913 0.500
Al3 0.750 0.087 0.500
Al4 0.750 0.413 0.500

Record 5
Below is a relaxed ScRe3 crystal, with properties calculated at the PBE level.

Results
* total magnetization: 0.00 μB per cell
* calculated formation energy: 220 meV per atom
* offset from the most stable computed form: 0.2958 eV/atom
* DOS at the Fermi energy: 7.5 states/eV/cell
* ρ: 15.5 g/cm³
* crystal system: cubic
* calculated volume: 64.6 Å³/f.u.
* space group: Pm-3n

Unit cell a=5.054 b=5.054 c=5.054 alpha=90.00 beta=90.00 gamma=90.00
Element x y z (fractional)
Sc1 0.000 0.000 0.000
Sc2 0.500 0.500 0.500
Re1 0.000 0.250 0.500
Re2 0.000 0.750 0.500
Re3 0.250 0.500 0.000
Re4 0.500 0.000 0.250
Re5 0.500 0.000 0.750
Re6 0.750 0.500 0.000

Record 6
Below is a relaxed Tm2MnNi crystal, with properties calculated at the PBE level.

Results
* total magnetization: 2.84 μB per cell
* calculated formation energy: -141 meV per atom
* DOS at the Fermi energy: 4.2 states/eV/cell
* ρ: 9.6 g/cm³
* crystal system: tetragonal
* calculated volume: 77.9 Å³/f.u.
* space group: P4/mmm

Unit cell a=3.359 b=3.359 c=6.899 alpha=90.00 beta=90.00 gamma=90.00
Element x y z (fractional)
Tm1 0.000 0.000 0.238
Tm2 0.000 0.000 0.762
Mn1 0.500 0.500 0.500
Ni1 0.500 0.500 0.000